VASP calculation (PBE) on a geometry-optimized La3ErSb3 structure.

Cell lengths 9.5667, 9.5667, 9.5667 Å; angles 90.00, 90.00, 90.00 degrees
Sites, in units of the cell vectors:
La 0.0658 0.4342 0.5658
La 0.1756 0.8244 0.3244
La 0.1782 0.1782 0.1782
La 0.3218 0.8218 0.6782
La 0.3244 0.1756 0.8244
La 0.4342 0.5658 0.0658
La 0.5658 0.0658 0.4342
La 0.6756 0.6756 0.6756
La 0.6782 0.3218 0.8218
La 0.8218 0.6782 0.3218
La 0.8244 0.3244 0.1756
La 0.9342 0.9342 0.9342
Er 0.0718 0.5718 0.9282
Er 0.4282 0.4282 0.4282
Er 0.5718 0.9282 0.0718
Er 0.9282 0.0718 0.5718
Sb 0.0028 0.2590 0.8685
Sb 0.1315 0.5028 0.2410
Sb 0.2410 0.1315 0.5028
Sb 0.2590 0.8685 0.0028
Sb 0.3685 0.4972 0.7410
Sb 0.4972 0.7410 0.3685
Sb 0.5028 0.2410 0.1315
Sb 0.6315 0.9972 0.7590
Sb 0.7410 0.3685 0.4972
Sb 0.7590 0.6315 0.9972
Sb 0.8685 0.0028 0.2590
Sb 0.9972 0.7590 0.6315

***

VASP calculation (PBE) on a geometry-optimized La4ErSb5 structure.

Cell lengths 16.4705, 16.4705, 16.4705 Å; angles 164.01, 164.01, 22.69 degrees
Sites, in units of the cell vectors:
La 0.0986 0.0986 0.0000
La 0.3012 0.3012 0.0000
La 0.6988 0.6988 0.0000
La 0.9014 0.9014 0.0000
Er 0.5000 0.5000 0.0000
Sb 0.0000 0.0000 0.0000
Sb 0.1998 0.1998 0.0000
Sb 0.4034 0.4034 0.0000
Sb 0.5966 0.5966 0.0000
Sb 0.8002 0.8002 0.0000

***

no.,calculated total energy (eV per atom),uncorrected formation energy (eV/f.u.),N(E_F) (states/eV per atom)
1,-5.602,-7.5,1.19
2,-5.710,-12.2,0.14